A plane-wave DFT calculation with PBE+U was carried out for an optimized crystal structure of V2PbO6.

Results
As for the magnetization: 0.00 Bohr magnetons per cell. The energy is -0.2618 Ha/atom. As for the space group: C2/m.

Cell: 8.6026 8.6026 9.7142 Å, 107.00 107.00 24.90°
Fractional positions:
V  0.0870  0.0870  0.3295
V  0.3349  0.3349  0.8572
V  0.6651  0.6651  0.1428
V  0.9130  0.9130  0.6705
Pb  0.3736  0.3736  0.2750
Pb  0.6264  0.6264  0.7250
O  0.0189  0.0189  0.7005
O  0.1340  0.1340  0.5067
O  0.1576  0.1576  0.1954
O  0.2295  0.2295  0.8318
O  0.3858  0.3858  0.0328
O  0.4020  0.4020  0.7182
O  0.5980  0.5980  0.2818
O  0.6142  0.6142  0.9672
O  0.7705  0.7705  0.1682
O  0.8424  0.8424  0.8046
O  0.8660  0.8660  0.4933
O  0.9811  0.9811  0.2995